The following is a PBE calculation of a geometry-optimized KZrBeSe3 structure, from the Open Quantum Materials Database.

Summary:
* energy: -5.078 eV per atom

a b c (Å): 3.773 15.180 10.365
angles (deg): 90.00 90.00 90.00
Space group Cmcm (No. 63)
Symmetry-distinct sites (fractional):
K  0.000  0.242  0.250 [4 per cell]
Zr  0.000  0.500  0.000 [4 per cell]
Be  0.000  0.038  0.750 [4 per cell]
Se  0.000  0.123  0.572 [8 per cell]
Se  0.000  0.445  0.750 [4 per cell]



The following is a PBE calculation of a geometry-optimized FeBi2 structure, from the Open Quantum Materials Database.

Summary:
* energy: -4.320 eV per atom

a b c (Å): 8.976 8.976 8.976
angles (deg): 90.00 90.00 90.00
Space group Fd-3m (No. 227, origin choice 2)
Symmetry-distinct sites (fractional):
Fe  0.125  0.125  0.125 [8 per cell]
Bi  0.000  0.000  0.500 [16 per cell]



The following is a PBE calculation of a geometry-optimized KSi5Mo3 structure, from the Open Quantum Materials Database.

Summary:
* energy: -6.717 eV per atom

a b c (Å): 5.4681 5.4681 6.3818
angles (deg): 90.00 90.00 120.00
Space group P6/mmm (No. 191)
Symmetry-distinct sites (fractional):
K  0.0000  0.0000  0.0000 [1 per cell]
Si  0.0000  0.0000  0.5000 [1 per cell]
Si  0.3333  0.6667  0.1861 [4 per cell]
Mo  0.0000  0.5000  0.5000 [3 per cell]



The following is a PBE calculation of a geometry-optimized CoMoIr2 structure, from the Open Quantum Materials Database.

Summary:
* energy relative to the lowest polymorph listed for this composition: 0.0 meV/atom
* formation energy: -0.2428 eV/atom

a b c (Å): 5.440 9.376 4.308
angles (deg): 90.00 90.00 90.00
Space group Cmcm (No. 63)
Symmetry-distinct sites (fractional):
Co  0.000  0.166  0.250 [4 per cell]
Mo  0.000  0.330  0.750 [4 per cell]
Ir  0.244  0.086  0.750 [8 per cell]



The following is a PBE calculation of a geometry-optimized PmSb3Se6 structure, from the Open Quantum Materials Database.

Summary:
* energy: -4.478 eV per atom

a b c (Å): 12.107 4.052 12.293
angles (deg): 90.00 105.88 90.00
Space group P2_1/m (No. 11)
Symmetry-distinct sites (fractional):
Pm  0.190  0.250  0.034 [2 per cell]
Sb  0.036  0.750  0.294 [2 per cell]
Sb  0.339  0.250  0.431 [2 per cell]
Sb  0.400  0.750  0.848 [2 per cell]
Se  0.031  0.750  0.893 [2 per cell]
Se  0.122  0.250  0.455 [2 per cell]
Se  0.228  0.750  0.229 [2 per cell]
Se  0.245  0.250  0.799 [2 per cell]
Se  0.387  0.750  0.060 [2 per cell]
Se  0.402  0.750  0.584 [2 per cell]



The following is a PBE calculation of a geometry-optimized IrI2O structure, from the Open Quantum Materials Database.

Summary:
* energy: -4.385 eV per atom

a b c (Å): 13.634 3.824 4.042
angles (deg): 90.00 106.78 90.00
Space group C2/m (No. 12)
Symmetry-distinct sites (fractional):
Ir  0.000  0.000  0.000 [2 per cell]
I  0.141  0.000  0.637 [4 per cell]
O  0.000  0.500  0.000 [2 per cell]



no.,size of the total moment (μB/cell)
1,1.9
2,27.2
3,0.1
4,0.3
5,0.0
6,0.0